# 1
DFT (PBE) results for a geometry-optimized BeTl2Au structure.

```
data_BeTl2Au
_chemical_formula_sum 'Be1 Tl2 Au1'
_space_group_name_H-M_alt 'P 1'
_space_group_IT_number 1
_space_group_name_Hall 'P 1'
_cell_length_a 8.643
_cell_length_b 8.643
_cell_length_c 8.643
_cell_angle_alpha 22.71
_cell_angle_beta 22.71
_cell_angle_gamma 22.71
loop_
_atom_site_label
_atom_site_fract_x
_atom_site_fract_y
_atom_site_fract_z
Be1 0.000 0.000 0.000
Tl1 0.257 0.257 0.257
Tl2 0.743 0.743 0.743
Au1 0.500 0.500 0.500
```

Results
The calculated formation energy is 0.423 eV per atom. For the mass density, the calculation gives 12.09 Mg/m³. For the total moment, the calculation gives 0.00 μB/f.u. The symmetry is R-3m.

***

# 2
DFT (PBE) results for a geometry-optimized CePm2 structure.

```
data_CePm2
_chemical_formula_sum 'Ce2 Pm4'
_space_group_name_H-M_alt 'P 1'
_space_group_IT_number 1
_space_group_name_Hall 'P 1'
_cell_length_a 6.642
_cell_length_b 6.642
_cell_length_c 6.642
_cell_angle_alpha 60.00
_cell_angle_beta 60.00
_cell_angle_gamma 60.00
loop_
_atom_site_label
_atom_site_fract_x
_atom_site_fract_y
_atom_site_fract_z
Ce1 0.125 0.125 0.125
Ce2 0.875 0.875 0.875
Pm1 0.000 0.500 0.500
Pm2 0.500 0.000 0.500
Pm3 0.500 0.500 0.000
Pm4 0.500 0.500 0.500
```

Results
The calculated formation energy is 0.374 eV per atom. For the mass density, the calculation gives 6.89 Mg/m³. For the total moment, the calculation gives 1.66 μB/f.u. The symmetry is Fd-3m.

***

# 3
DFT (PBE) results for a geometry-optimized ScAg2Br structure.

```
data_ScAg2Br
_chemical_formula_sum 'Sc1 Ag2 Br1'
_space_group_name_H-M_alt 'P 1'
_space_group_IT_number 1
_space_group_name_Hall 'P 1'
_cell_length_a 5.846
_cell_length_b 5.846
_cell_length_c 5.846
_cell_angle_alpha 145.74
_cell_angle_beta 125.29
_cell_angle_gamma 66.16
loop_
_atom_site_label
_atom_site_fract_x
_atom_site_fract_y
_atom_site_fract_z
Sc1 0.000 0.000 0.000
Ag1 0.503 0.503 0.000
Ag2 0.763 0.263 0.500
Br1 0.207 0.707 0.500
```

Results
For the mass density, the calculation gives 6.24 Mg/m³. For the total moment, the calculation gives 0.00 μB/f.u. The symmetry is Imm2. The uncorrected formation energy comes out at -160.1 meV/atom.